(1)
## AcNd6Se8 (GGA-PBE)

Data for a relaxed AcNd6Se8 crystal.

Summary:
**Total DFT energy (no corrections)**: -5.90 eV per atom

Cell: 8.478 8.478 8.478 Å, 60.00 60.00 60.00°
Fractional coordinates of all 15 atoms:
Se 0.260 0.740 0.260
Nd 0.500 0.500 0.000
Nd 0.500 0.000 0.000
Se 0.260 0.260 0.740
Nd 0.500 0.000 0.500
Nd 0.000 0.500 0.500
Nd 0.000 0.000 0.500
Nd 0.000 0.500 0.000
Se 0.250 0.250 0.250
Se 0.260 0.740 0.740
Ac 0.000 0.000 0.000
Se 0.750 0.750 0.750
Se 0.740 0.260 0.740
Se 0.740 0.260 0.260
Se 0.740 0.740 0.260



(2)
## Ac2NdSe4 (GGA-PBE)

Data for a relaxed Ac2NdSe4 crystal.

Summary:
**Total DFT energy (no corrections)**: -5.72 eV per atom
**Polymorph energy (0 for the lowest one)**: 23 meV/atom

Cell: 4.216 7.697 14.531 Å, 90.00 90.00 105.89°
Fractional coordinates of all 14 atoms:
Nd 0.628 0.256 0.750
Ac 0.131 0.262 0.425
Nd 0.372 0.744 0.250
Se 0.219 0.438 0.626
Se 0.500 0.000 0.500
Ac 0.869 0.738 0.925
Se 0.984 0.968 0.750
Se 0.219 0.438 0.874
Se 0.781 0.562 0.126
Ac 0.869 0.738 0.575
Se 0.500 0.000 0.000
Ac 0.131 0.262 0.075
Se 0.781 0.562 0.374
Se 0.016 0.032 0.250



(3)
## AcNdSe (GGA-PBE)

Data for a relaxed AcNdSe crystal.

Summary:
**Total DFT energy (no corrections)**: -5.06 eV per atom
**Polymorph energy (0 for the lowest one)**: 141 meV/atom

Cell: 3.819 3.819 7.253 Å, 105.26 105.26 90.00°
Fractional coordinates of all 3 atoms:
Se 0.325 0.325 0.650
Ac 0.974 0.974 0.948
Nd 0.701 0.701 0.402



(4)
## Ac4NdSe5 (GGA-PBE)

Data for a relaxed Ac4NdSe5 crystal.

Summary:
**Total DFT energy (no corrections)**: -5.71 eV per atom
**Polymorph energy (0 for the lowest one)**: 10 meV/atom

Cell: 4.419 6.262 11.695 Å, 105.53 100.89 90.00°
Fractional coordinates of all 10 atoms:
Nd 0.000 0.000 0.000
Ac 0.599 0.599 0.199
Se 0.595 0.095 0.190
Se 0.201 0.701 0.402
Se 0.000 0.500 0.000
Ac 0.803 0.803 0.605
Se 0.405 0.905 0.810
Se 0.799 0.299 0.598
Ac 0.197 0.197 0.395
Ac 0.401 0.401 0.801



Number 1: formation energy from raw total energies -1.86 eV/atom. Number 2: formation energy from raw total energies -1.88 eV/atom. Number 3: formation energy from raw total energies -0.94 eV/atom. Number 4: formation energy from raw total energies -1.85 eV/atom.